Crystalline Er2Tm3Tl2 at its relaxed geometry. Source: Alexandria, functional GGA-PBE.

Summary:
energy of formation	-68	meV/atom
relative energy among the computed polymorphs	11.58	kJ/mol of atoms
symmetry	Cmmm
mass density	10.45	g/cm³

Lattice parameters (Å, degrees): 11.8111 11.8111 3.4559 90.00 90.00 155.68
Atoms (fractional coordinates):
Er (0.2142, 0.7858, 0.0000)
Er (0.7858, 0.2142, 0.0000)
Tm (0.3526, 0.6474, 0.5000)
Tm (0.5000, 0.5000, 0.5000)
Tm (0.6474, 0.3526, 0.5000)
Tl (0.0729, 0.9271, 0.0000)
Tl (0.9271, 0.0729, 0.0000)